(1)
This record from the Alexandria database describes an optimized crystal structure of ZnAu2CO. The functional is PBE.

Properties
formation energy without anion corrections	1.11	eV per atom
total energy	-3.29	eV per atom
M_tot	0.0	μB/f.u.

abc: 5.5156 5.5156 2.7080
angles: 90.00 90.00 90.00
Fractional coordinates of all 5 atoms:
C  0.0000  0.0000  0.5000
O  0.0000  0.0000  0.0000
Au  0.0000  0.5000  0.0000
Au  0.5000  0.0000  0.0000
Zn  0.5000  0.5000  0.5000

(2)
This record from the Alexandria database describes an optimized crystal structure of NbTc. The functional is PBE.

Properties
total energy	-10.43	eV per atom
energy of formation from the pure elements	-0.2146	eV per atom
M_tot	0.0	μB/f.u.

abc: 3.1938 4.4704 9.1491
angles: 90.00 90.00 90.00
Fractional coordinates of all 8 atoms:
Nb  0.5000  0.2500  0.1223
Nb  0.5000  0.7500  0.8777
Nb  0.0000  0.7500  0.6223
Nb  0.0000  0.2500  0.3777
Tc  0.0000  0.2500  0.8764
Tc  0.0000  0.7500  0.1236
Tc  0.5000  0.2500  0.6236
Tc  0.5000  0.7500  0.3764

(3)
This record from the Alexandria database describes an optimized crystal structure of La2TaFe. The functional is PBE.

Properties
total energy	-6.98	eV per atom
offset from the most stable computed form	381	meV/atom
energy of formation from the pure elements	0.5619	eV per atom
M_tot	2.2	μB/f.u.

abc: 3.3898 3.3898 8.3511
angles: 90.00 90.00 90.03
Fractional coordinates of all 4 atoms:
Fe  0.5000  0.5000  0.7500
La  0.0000  0.0000  0.9744
La  0.0000  0.0000  0.5256
Ta  0.5000  0.5000  0.2500

(4)
This record from the Alexandria database describes an optimized crystal structure of Tb3Dy5Cd. The functional is PBE.

Properties
total energy	-3.73	eV per atom
energy of formation from the pure elements	0.4704	eV per atom
M_tot	0.0	μB/f.u.

abc: 8.2142 8.2142 11.8767
angles: 67.37 67.37 85.19
Fractional coordinates of all 18 atoms:
Tb  0.6814  0.6814  0.7715
Tb  0.7716  0.7716  0.2986
Tb  0.0000  0.0000  0.0000
Tb  0.2284  0.2284  0.7014
Tb  0.0000  0.0000  0.5000
Tb  0.3186  0.3186  0.2285
Dy  0.6740  0.6740  0.0538
Dy  0.9115  0.4047  0.1933
Dy  0.0885  0.5953  0.8067
Dy  0.2821  0.7179  0.0000
Dy  0.4047  0.9115  0.1933
Dy  0.3260  0.3260  0.9462
Dy  0.5340  0.5340  0.6137
Dy  0.7179  0.2821  0.0000
Dy  0.4660  0.4660  0.3863
Dy  0.5953  0.0885  0.8067
Cd  0.9486  0.9486  0.7784
Cd  0.0514  0.0514  0.2216

(5)
This record from the Alexandria database describes an optimized crystal structure of SmEu2Bi. The functional is PBE.

Properties
total energy	-7.70	eV per atom
energy of formation from the pure elements	-0.4100	eV per atom
M_tot	15.4	μB/f.u.

abc: 5.2277 5.0010 5.0010
angles: 90.00 90.00 90.00
Fractional coordinates of all 4 atoms:
Eu  0.0000  0.0000  0.5000
Eu  0.0000  0.5000  0.0000
Bi  0.5000  0.0000  0.0000
Sm  0.5000  0.5000  0.5000

(6)
This record from the Alexandria database describes an optimized crystal structure of CoSiP. The functional is PBE.

Properties
formation energy without anion corrections	-0.12	eV per atom
total energy	-6.10	eV per atom
M_tot	0.0	μB/f.u.

abc: 2.9284 2.9284 5.0251
angles: 90.00 90.00 120.00
Fractional coordinates of all 3 atoms:
P  0.0000  0.0000  0.9670
Si  0.6667  0.3333  0.5973
Co  0.3333  0.6667  0.2667

(7)
This record from the Alexandria database describes an optimized crystal structure of FeSi2Mo. The functional is PBE.

Properties
formation energy without anion corrections	0.04	eV per atom
total energy	-7.49	eV per atom
M_tot	1.0	μB/f.u.

abc: 7.9785 7.9785 7.9785
angles: 20.36 20.36 20.36
Fractional coordinates of all 4 atoms:
Fe  0.5053  0.5053  0.5053
Si  0.2456  0.2456  0.2456
Si  0.9974  0.9974  0.9974
Mo  0.7517  0.7517  0.7517

(8)
This record from the Alexandria database describes an optimized crystal structure of Sr2TcNi. The functional is PBE.

Properties
total energy	-4.51	eV per atom
offset from the most stable computed form	0	meV/atom
energy of formation from the pure elements	0.3663	eV per atom
M_tot	0.7	μB/f.u.

abc: 4.2008 4.7799 5.9841
angles: 66.44 90.00 90.00
Fractional coordinates of all 4 atoms:
Tc  0.0000  0.6675  0.5401
Sr  0.5000  0.2706  0.3339
Sr  0.0000  0.9808  0.9132
Ni  0.5000  0.5811  0.7128

(9)
This record from the Alexandria database describes an optimized crystal structure of Gd2CdBi. The functional is PBE.

Properties
total energy	-8.80	eV per atom
offset from the most stable computed form	0	meV/atom
energy of formation from the pure elements	-0.5617	eV per atom
M_tot	15.0	μB/f.u.

abc: 4.0338 4.0338 6.9362
angles: 90.00 90.00 90.00
Fractional coordinates of all 4 atoms:
Gd  0.0000  0.0000  0.7516
Gd  0.0000  0.0000  0.2484
Cd  0.5000  0.5000  0.5000
Bi  0.5000  0.5000  0.0000

(10)
This record from the Alexandria database describes an optimized crystal structure of Pa4Mn3Ga16. The functional is PBE.

Properties
total energy	-5.28	eV per atom
energy of formation from the pure elements	-0.3293	eV per atom
M_tot	4.0	μB/f.u.

abc: 6.1399 6.1399 11.1402
angles: 90.00 90.00 90.00
Fractional coordinates of all 23 atoms:
Pa  0.5000  0.0000  0.1943
Pa  0.0000  0.5000  0.1943
Pa  0.5000  0.0000  0.8057
Pa  0.0000  0.5000  0.8057
Ga  0.7164  0.7164  0.0000
Ga  0.7495  0.7495  0.3823
Ga  0.2505  0.2505  0.3823
Ga  0.5000  0.5000  0.1968
Ga  0.2836  0.2836  0.0000
Ga  0.7164  0.2836  0.0000
Ga  0.2836  0.7164  0.0000
Ga  0.2505  0.7495  0.3823
Ga  0.2505  0.2505  0.6177
Ga  0.0000  0.0000  0.2225
Ga  0.5000  0.5000  0.8032
Ga  0.7495  0.2505  0.3823
Ga  0.7495  0.7495  0.6177
Ga  0.7495  0.2505  0.6177
Ga  0.2505  0.7495  0.6177
Ga  0.0000  0.0000  0.7775
Mn  0.0000  0.0000  0.0000
Mn  0.5000  0.0000  0.5000
Mn  0.0000  0.5000  0.5000

(11)
This record from the Alexandria database describes an optimized crystal structure of GaTeMoBr2. The functional is PBE.

Properties
formation energy without anion corrections	0.70	eV per atom
total energy	-3.36	eV per atom
M_tot	2.9	μB/f.u.

abc: 4.9691 5.8003 4.9691
angles: 90.00 90.00 90.00
Fractional coordinates of all 5 atoms:
Te  0.5000  0.5000  0.5000
Br  0.0000  0.0000  0.5000
Br  0.5000  0.0000  0.0000
Mo  0.0000  0.5000  0.0000
Ga  0.0000  0.0000  0.0000

(12)
This record from the Alexandria database describes an optimized crystal structure of CrFe11Si4. The functional is PBE.

Properties
formation energy without anion corrections	-0.30	eV per atom
total energy	-8.08	eV per atom
M_tot	12.8	μB/f.u.

abc: 13.1079 13.1079 13.1079
angles: 17.34 17.34 17.34
Fractional coordinates of all 16 atoms:
Si  0.6249  0.6249  0.6249
Si  0.3751  0.3751  0.3751
Si  0.1250  0.1250  0.1250
Si  0.8750  0.8750  0.8750
Fe  0.7503  0.7503  0.7503
Fe  0.5000  0.5000  0.5000
Fe  0.0614  0.0614  0.0614
Fe  0.8123  0.8123  0.8123
Fe  0.3131  0.3131  0.3131
Fe  0.4370  0.4370  0.4370
Fe  0.2497  0.2497  0.2497
Fe  0.1877  0.1877  0.1877
Fe  0.6869  0.6869  0.6869
Fe  0.9386  0.9386  0.9386
Fe  0.5630  0.5630  0.5630
Cr  0.0000  0.0000  0.0000

(13)
This record from the Alexandria database describes an optimized crystal structure of SrCuNiGe2. The functional is PBE.

Properties
total energy	-4.59	eV per atom
energy of formation from the pure elements	-0.4264	eV per atom
M_tot	0.0	μB/f.u.

abc: 4.2470 4.2470 5.9440
angles: 110.93 110.93 90.00
Fractional coordinates of all 5 atoms:
Cu  0.2500  0.7500  0.5000
Ni  0.7500  0.2500  0.5000
Ge  0.3666  0.3666  0.7332
Ge  0.6334  0.6334  0.2668
Sr  0.0000  0.0000  0.0000

(14)
This record from the Alexandria database describes an optimized crystal structure of LiGePb2. The functional is PBE.

Properties
total energy	-3.40	eV per atom
energy of formation from the pure elements	0.0876	eV per atom
M_tot	0.0	μB/f.u.

abc: 4.4974 4.4974 6.7610
angles: 70.57 70.57 60.00
Fractional coordinates of all 4 atoms:
Li  0.5072  0.5072  0.4783
Ge  0.6636  0.6636  0.0091
Pb  0.0758  0.0758  0.7727
Pb  0.2534  0.2534  0.2399

(15)
This record from the Alexandria database describes an optimized crystal structure of LaMnCu2. The functional is PBE.

Properties
total energy	-5.48	eV per atom
energy of formation from the pure elements	0.0912	eV per atom
M_tot	4.0	μB/f.u.

abc: 3.2008 3.2620 7.6643
angles: 64.99 90.00 90.00
Fractional coordinates of all 4 atoms:
Cu  0.0000  0.0666  0.9339
Cu  0.0000  0.4334  0.5661
Mn  0.5000  0.7500  0.7500
La  0.5000  0.2500  0.2500

(16)
This record from the Alexandria database describes an optimized crystal structure of Mg4ZrTl. The functional is PBE.

Properties
total energy	-2.67	eV per atom
offset from the most stable computed form	223	meV/atom
energy of formation from the pure elements	0.2158	eV per atom
M_tot	1.3	μB/f.u.

abc: 5.8370 5.8370 5.8370
angles: 60.00 60.00 60.00
Fractional coordinates of all 6 atoms:
Tl  0.7500  0.7500  0.7500
Mg  0.8776  0.3741  0.3741
Mg  0.3741  0.3741  0.8776
Mg  0.3741  0.8776  0.3741
Mg  0.3741  0.3741  0.3741
Zr  0.0000  0.0000  0.0000

(17)
This record from the Alexandria database describes an optimized crystal structure of AlAuBr2. The functional is PBE.

Properties
formation energy without anion corrections	-0.29	eV per atom
total energy	-2.88	eV per atom
offset from the most stable computed form	293	meV/atom
M_tot	0.0	μB/f.u.

abc: 7.6952 7.6952 7.6952
angles: 155.45 144.44 43.69
Fractional coordinates of all 4 atoms:
Al  0.7500  0.2500  0.5000
Br  0.6102  0.6102  0.0000
Br  0.8898  0.8898  0.0000
Au  0.2500  0.7500  0.5000

(18)
This record from the Alexandria database describes an optimized crystal structure of ThPaCuAu. The functional is PBE.

Properties
total energy	-6.15	eV per atom
energy of formation from the pure elements	-0.0815	eV per atom
M_tot	1.3	μB/f.u.

abc: 5.0916 5.0916 5.0916
angles: 60.00 60.00 60.00
Fractional coordinates of all 4 atoms:
Th  0.5000  0.5000  0.5000
Au  0.7500  0.7500  0.7500
Cu  0.2500  0.2500  0.2500
Pa  0.0000  0.0000  0.0000

(19)
This record from the Alexandria database describes an optimized crystal structure of BaCd2HgPb2. The functional is PBE.

Properties
total energy	-2.07	eV per atom
energy of formation from the pure elements	-0.1631	eV per atom
M_tot	0.0	μB/f.u.

abc: 5.4236 8.2224 9.0179
angles: 90.00 90.00 90.00
Fractional coordinates of all 12 atoms:
Ba  0.5000  0.5000  0.0000
Ba  0.0000  0.0000  0.5000
Cd  0.0000  0.3090  0.8110
Cd  0.0000  0.6910  0.1890
Cd  0.5000  0.8090  0.6890
Cd  0.5000  0.1910  0.3110
Pb  0.5000  0.1978  0.6956
Pb  0.0000  0.3022  0.1956
Pb  0.5000  0.8022  0.3044
Pb  0.0000  0.6978  0.8044
Hg  0.5000  0.5000  0.5000
Hg  0.0000  0.0000  0.0000

(20)
This record from the Alexandria database describes an optimized crystal structure of La2Cd3In. The functional is PBE.

Properties
total energy	-2.97	eV per atom
energy of formation from the pure elements	-0.4167	eV per atom
M_tot	0.0	μB/f.u.

abc: 6.2792 6.2792 10.2008
angles: 113.91 113.91 71.54
Fractional coordinates of all 12 atoms:
Cd  0.8338  0.8338  0.6676
Cd  0.8323  0.8323  0.1655
Cd  0.6668  0.6668  0.8345
Cd  0.3332  0.3332  0.1655
Cd  0.1677  0.1677  0.8345
Cd  0.1662  0.1662  0.3324
La  0.2435  0.7565  0.0000
La  0.7565  0.2435  0.0000
La  0.2500  0.7500  0.5000
La  0.7500  0.2500  0.5000
In  0.3341  0.3341  0.6682
In  0.6659  0.6659  0.3318